Na2FeI: relaxed, PBE-GGA.

Output
Space-group type: No. 225
VASP energy (eV per atom): -2.81
M_tot (μB per formula unit): 3.0
Formation energy from raw total energies (eV/atom): 0.36
Volume (Å³ per atom): 28.9
DOS at the Fermi energy (states/eV per cell): 11.98
Energy above the most stable polymorph in this dataset (meV/atom): 0

Lattice parameters (Å, degrees): 5.468 5.468 5.468 60.00 60.00 60.00
Element x y z (fractional)
Na1 0.250 0.250 0.250
Na2 0.750 0.750 0.750
Fe1 0.000 0.000 0.000
I1 0.500 0.500 0.500

=====

U2GaBr8: relaxed, PBE-GGA.

Output
Space-group type: No. 12
VASP energy (eV per atom): -4.66
M_tot (μB per formula unit): 5.0
Formation energy from raw total energies (eV/atom): -1.12
Volume (Å³ per atom): 40.3
DOS at the Fermi energy (states/eV per cell): 16.25
Energy above the most stable polymorph in this dataset (meV/atom): 0

Lattice parameters (Å, degrees): 8.141 8.141 7.547 98.85 98.85 64.38
Element x y z (fractional)
U1 0.231 0.231 0.482
U2 0.769 0.769 0.518
Ga1 0.500 0.500 0.000
Br1 0.116 0.116 0.738
Br2 0.148 0.591 0.678
Br3 0.332 0.332 0.196
Br4 0.409 0.852 0.322
Br5 0.591 0.148 0.678
Br6 0.668 0.668 0.804
Br7 0.852 0.409 0.322
Br8 0.884 0.884 0.262

=====

Tm2PuSi2Rh5: relaxed, PBE-GGA.

Output
Space-group type: No. 127
VASP energy (eV per atom): -8.00
M_tot (μB per formula unit): 4.5
Formation energy from raw total energies (eV/atom): -0.91
Volume (Å³ per atom): 17.3
DOS at the Fermi energy (states/eV per cell): 21.15

Lattice parameters (Å, degrees): 9.824 9.824 3.590 90.00 90.00 90.00
Element x y z (fractional)
Tm1 0.173 0.327 0.000
Tm2 0.327 0.827 0.000
Tm3 0.673 0.173 0.000
Tm4 0.827 0.673 0.000
Pu1 0.000 0.000 0.000
Pu2 0.500 0.500 0.000
Si1 0.123 0.623 0.000
Si2 0.377 0.123 0.000
Si3 0.623 0.877 0.000
Si4 0.877 0.377 0.000
Rh1 0.000 0.500 0.500
Rh2 0.071 0.781 0.500
Rh3 0.219 0.071 0.500
Rh4 0.281 0.571 0.500
Rh5 0.429 0.281 0.500
Rh6 0.500 0.000 0.500
Rh7 0.571 0.719 0.500
Rh8 0.719 0.429 0.500
Rh9 0.781 0.929 0.500
Rh10 0.929 0.219 0.500

=====

Nd2Ni2Ru: relaxed, PBE-GGA.

Output
Space-group type: No. 15
VASP energy (eV per atom): -6.32
M_tot (μB per formula unit): 0.0
Volume (Å³ per atom): 19.6
DOS at the Fermi energy (states/eV per cell): 10.30

Lattice parameters (Å, degrees): 5.232 5.232 8.205 100.75 100.75 63.57
Element x y z (fractional)
Nd1 0.036 0.271 0.155
Nd2 0.271 0.036 0.655
Nd3 0.729 0.964 0.345
Nd4 0.964 0.729 0.845
Ni1 0.260 0.499 0.501
Ni2 0.499 0.260 0.001
Ni3 0.501 0.740 0.999
Ni4 0.740 0.501 0.499
Ru1 0.367 0.633 0.250
Ru2 0.633 0.367 0.750

=====

LaIn15Pb4: relaxed, PBE-GGA.

Output
Space-group type: No. 123
VASP energy (eV per atom): -3.11
M_tot (μB per formula unit): 0.0
Volume (Å³ per atom): 28.3
DOS at the Fermi energy (states/eV per cell): 5.97

Lattice parameters (Å, degrees): 4.996 4.996 22.682 90.00 90.00 90.00
Element x y z (fractional)
La1 0.000 0.000 0.000
In1 0.000 0.500 0.101
In2 0.000 0.500 0.300
In3 0.000 0.500 0.500
In4 0.000 0.500 0.700
In5 0.000 0.500 0.899
In6 0.500 0.000 0.101
In7 0.500 0.000 0.300
In8 0.500 0.000 0.500
In9 0.500 0.000 0.700
In10 0.500 0.000 0.899
In11 0.500 0.500 0.000
In12 0.500 0.500 0.203
In13 0.500 0.500 0.399
In14 0.500 0.500 0.601
In15 0.500 0.500 0.797
Pb1 0.000 0.000 0.193
Pb2 0.000 0.000 0.398
Pb3 0.000 0.000 0.602
Pb4 0.000 0.000 0.807

=====

ZrTaCr: relaxed, PBE-GGA.

Output
Space-group type: No. 107
VASP energy (eV per atom): -9.90
M_tot (μB per formula unit): 0.4
Volume (Å³ per atom): 17.5
DOS at the Fermi energy (states/eV per cell): 4.16
Energy above the most stable polymorph in this dataset (meV/atom): 62

Lattice parameters (Å, degrees): 5.593 5.593 5.593 146.72 146.72 47.77
Element x y z (fractional)
Zr1 0.000 0.000 0.000
Ta1 0.303 0.303 0.000
Cr1 0.672 0.672 0.000